Entry 1:
Zn2CrCu | PBE | optimized geometry

The value obtained for the volume is 14.0 A^3/atom. The calculation puts the density of states at the Fermi level at 0.513 states/eV per atom. For the energy of formation, the calculation gives 0.16 eV/atom. The space group is Imm2, No. 44.

Cell: 4.9720 4.9720 4.9720 Å, 143.50 129.36 64.02°
Closest atoms and distances in Å follow each position.
Element x y z (fractional)
Cr 0.4963 0.4963 0.0000  8 Zn 2.64-2.94, 2 Cu 2.64
Cu 0.2439 0.7439 0.5000  6 Zn 2.55-2.64, 2 Cr 2.64
Zn 0.0046 0.0046 0.0000  2 Cu 2.55, 2 Zn 2.62, 4 Cr 2.64
Zn 0.7551 0.2551 0.5000  2 Zn 2.62, 4 Cu 2.64, 2 Cr 2.68

Entry 2:
TaTi2Re | PBE | optimized geometry

The value obtained for the volume is 16.4 A^3/atom. The calculation puts the density of states at the Fermi level at 1.187 states/eV per atom. For the energy of formation, the calculation gives -0.17 eV/atom. The space group is P4/mmm, No. 123.

Cell: 3.1078 3.1078 6.8105 Å, 90.00 90.00 90.00°
Closest atoms and distances in Å follow each position.
Element x y z (fractional)
Re 0.5000 0.5000 0.0000  8 Ti 2.67
Ti 0.0000 0.0000 0.7780  4 Re 2.67, 4 Ta 2.90
Ti 0.0000 0.0000 0.2220  4 Re 2.67, 4 Ta 2.90
Ta 0.5000 0.5000 0.5000  8 Ti 2.90, 4 Ta 3.11

Entry 3:
YZrSc2S | PBE | optimized geometry

The value obtained for the volume is 24.3 A^3/atom. The calculation puts the uncorrected formation energy at -58.8 kJ/mol of atoms. The calculation puts the density of states at the Fermi level at 1.420 states/eV per atom. The space group is P4/mmm, No. 123.

Cell: 4.9187 4.9187 5.0261 Å, 90.00 90.00 90.00°
Closest atoms and distances in Å follow each position.
Element x y z (fractional)
Y 0.5000 0.5000 0.5000  4 Zr 3.48, 8 Sc 3.52
Sc 0.0000 0.5000 0.0000  2 S 2.46
Sc 0.5000 0.0000 0.0000  2 S 2.46
S 0.0000 0.0000 0.0000  4 Sc 2.46, 2 Zr 2.51
Zr 0.0000 0.0000 0.5000  2 S 2.51

Entry 4:
CaCdNi | PBE | optimized geometry

The value obtained for the volume is 23.3 A^3/atom. The calculation puts the density of states at the Fermi level at 0.342 states/eV per atom. For the energy of formation, the calculation gives -0.06 eV/atom. The space group is F-43m, No. 216.

Cell: 4.6208 4.6208 4.6208 Å, 60.00 60.00 60.00°
Closest atoms and distances in Å follow each position.
Element x y z (fractional)
Ni 0.7500 0.7500 0.7500  4 Cd 2.83, 4 Ca 2.83
Ca 0.0000 0.0000 0.0000  4 Ni 2.83
Cd 0.5000 0.5000 0.5000  4 Ni 2.83

Entry 5:
CaMg2HgRh | PBE | optimized geometry

The value obtained for the volume is 25.6 A^3/atom. The calculation puts the density of states at the Fermi level at 0.476 states/eV per atom. For the energy of formation, the calculation gives -0.20 eV/atom. The space group is P4/mmm, No. 123.

Cell: 4.9016 4.9016 5.3274 Å, 90.00 90.00 90.00°
Closest atoms and distances in Å follow each position.
Element x y z (fractional)
Mg 0.0000 0.5000 0.0000  2 Rh 2.45
Mg 0.5000 0.0000 0.0000  2 Rh 2.45
Ca 0.5000 0.5000 0.5000  4 Hg 3.47, 8 Mg 3.62
Rh 0.0000 0.0000 0.0000  4 Mg 2.45, 2 Hg 2.66
Hg 0.0000 0.0000 0.5000  2 Rh 2.66

Entry 6:
La4Nd4Tm | PBE | optimized geometry

The value obtained for the volume is 35.4 A^3/atom. The calculation puts the density of states at the Fermi level at 1.631 states/eV per atom. For the energy of formation, the calculation gives 0.02 eV/atom. The space group is I4/mmm, No. 139.

Cell: 5.2406 8.2231 8.2231 Å, 84.17 71.42 71.42°
Closest atoms and distances in Å follow each position.
Element x y z (fractional)
La 0.6660 0.6679 0.0001  4 La 3.66-3.70, 6 Nd 3.68-3.69, 2 Tm 3.68
La 0.3340 0.3321 0.9999  4 La 3.66-3.70, 6 Nd 3.68-3.69, 2 Tm 3.68
La 0.6661 0.9999 0.6679  4 La 3.66-3.70, 6 Nd 3.68-3.69, 2 Tm 3.68
La 0.3339 0.0001 0.3321  4 La 3.66-3.70, 6 Nd 3.68-3.69, 2 Tm 3.68
Nd 0.6675 0.3325 0.3325  1 Tm 3.66, 6 La 3.68-3.69, 5 Nd 3.69-3.70
Nd 0.3325 0.6675 0.6675  1 Tm 3.66, 6 La 3.68-3.69, 5 Nd 3.69-3.70
Nd 0.0000 0.6675 0.3325  1 Tm 3.66, 6 La 3.68-3.69, 5 Nd 3.69-3.70
Nd 0.0000 0.3325 0.6675  1 Tm 3.66, 6 La 3.68-3.69, 5 Nd 3.69-3.70
Tm 0.0000 0.0000 0.0000  4 Nd 3.66, 8 La 3.68